# LiCaAcTm | Alexandria via LeMat-Bulk | GGA-PBE | optimized geometry
data_LiCaAcTm
_chemical_formula_sum 'Li4 Ca4 Ac4 Tm4'
_symmetry_space_group_name_H-M 'F -4 3 m'
_symmetry_Int_Tables_number 216
_symmetry_space_group_name_Hall 'F -4 2 3'
_cell_length_a 8.223
_cell_length_b 8.223
_cell_length_c 8.223
_cell_angle_alpha 90.00
_cell_angle_beta 90.00
_cell_angle_gamma 90.00
loop_
_atom_site_label
_atom_site_fract_x
_atom_site_fract_y
_atom_site_fract_z
Li1 0.000 0.000 0.000
Ca1 0.250 0.250 0.750
Ac1 0.250 0.250 0.250
Tm1 0.000 0.000 0.500
# **Total energy**: -2.94 eV per atom
# **DFT formation energy**: 0.184 eV per atom

=====

# LiCaAcZn | Alexandria via LeMat-Bulk | GGA-PBE | optimized geometry
data_LiCaAcZn
_chemical_formula_sum 'Li4 Ca4 Ac4 Zn4'
_symmetry_space_group_name_H-M 'F -4 3 m'
_symmetry_Int_Tables_number 216
_symmetry_space_group_name_Hall 'F -4 2 3'
_cell_length_a 7.763
_cell_length_b 7.763
_cell_length_c 7.763
_cell_angle_alpha 90.00
_cell_angle_beta 90.00
_cell_angle_gamma 90.00
loop_
_atom_site_label
_atom_site_fract_x
_atom_site_fract_y
_atom_site_fract_z
Li1 0.000 0.000 0.000
Ca1 0.250 0.250 0.750
Ac1 0.250 0.250 0.250
Zn1 0.000 0.000 0.500
# **Total energy**: -2.43 eV per atom
# **DFT formation energy**: -0.104 eV per atom

=====

# CaAc2Lu | Alexandria via LeMat-Bulk | GGA-PBE | optimized geometry
data_CaAc2Lu
_chemical_formula_sum 'Ca1 Ac2 Lu1'
_symmetry_space_group_name_H-M 'P 4/m m m'
_symmetry_Int_Tables_number 123
_symmetry_space_group_name_Hall '-P 4 2'
_cell_length_a 4.257
_cell_length_b 4.257
_cell_length_c 8.902
_cell_angle_alpha 90.00
_cell_angle_beta 90.00
_cell_angle_gamma 90.00
loop_
_atom_site_label
_atom_site_fract_x
_atom_site_fract_y
_atom_site_fract_z
Ca1 0.000 0.000 0.000
Ac1 0.500 0.500 0.272
Lu1 0.000 0.000 0.500
# **Polymorph energy (0 for the lowest one)**: 0 kJ/mol of formula units
# **Total energy**: -3.63 eV per atom
# **DFT formation energy**: 0.053 eV per atom

=====

# CaAc2Lu | Alexandria via LeMat-Bulk | GGA-PBE | optimized geometry
data_CaAc2Lu
_chemical_formula_sum 'Ca3 Ac6 Lu3'
_symmetry_space_group_name_H-M 'R -3 m'
_symmetry_Int_Tables_number 166
_symmetry_space_group_name_Hall '-R 3 2"'
_cell_length_a 3.7150
_cell_length_b 3.7150
_cell_length_c 40.5875
_cell_angle_alpha 90.00
_cell_angle_beta 90.00
_cell_angle_gamma 120.00
loop_
_atom_site_label
_atom_site_fract_x
_atom_site_fract_y
_atom_site_fract_z
Ca1 0.0000 0.0000 0.0000
Ac1 0.0000 0.0000 0.4162
Lu1 0.0000 0.0000 0.5000
# **Polymorph energy (0 for the lowest one)**: 93 kJ/mol of formula units
# **Total energy**: -3.39 eV per atom
# **DFT formation energy**: 0.295 eV per atom

=====

# CaAc2Lu | Alexandria via LeMat-Bulk | GGA-PBE | optimized geometry
data_CaAc2Lu
_chemical_formula_sum 'Ca4 Ac8 Lu4'
_symmetry_space_group_name_H-M 'F m -3 m'
_symmetry_Int_Tables_number 225
_symmetry_space_group_name_Hall '-F 4 2 3'
_cell_length_a 8.582
_cell_length_b 8.582
_cell_length_c 8.582
_cell_angle_alpha 90.00
_cell_angle_beta 90.00
_cell_angle_gamma 90.00
loop_
_atom_site_label
_atom_site_fract_x
_atom_site_fract_y
_atom_site_fract_z
Ca1 0.000 0.000 0.000
Ac1 0.250 0.250 0.250
Lu1 0.000 0.000 0.500
# **Polymorph energy (0 for the lowest one)**: 8 kJ/mol of formula units
# **Total energy**: -3.61 eV per atom
# **DFT formation energy**: 0.073 eV per atom

=====

# CaAcLu2 | Alexandria via LeMat-Bulk | GGA-PBE | optimized geometry
data_CaAcLu2
_chemical_formula_sum 'Ca4 Ac4 Lu8'
_symmetry_space_group_name_H-M 'F m -3 m'
_symmetry_Int_Tables_number 225
_symmetry_space_group_name_Hall '-F 4 2 3'
_cell_length_a 8.287
_cell_length_b 8.287
_cell_length_c 8.287
_cell_angle_alpha 90.00
_cell_angle_beta 90.00
_cell_angle_gamma 90.00
loop_
_atom_site_label
_atom_site_fract_x
_atom_site_fract_y
_atom_site_fract_z
Ca1 0.000 0.000 0.000
Ac1 0.000 0.000 0.500
Lu1 0.250 0.250 0.250
# **Polymorph energy (0 for the lowest one)**: 12 kJ/mol of formula units
# **Total energy**: -3.62 eV per atom
# **DFT formation energy**: 0.173 eV per atom

=====

# CaAcLu2 | Alexandria via LeMat-Bulk | GGA-PBE | optimized geometry
data_CaAcLu2
_chemical_formula_sum 'Ca3 Ac3 Lu6'
_symmetry_space_group_name_H-M 'R -3 m'
_symmetry_Int_Tables_number 166
_symmetry_space_group_name_Hall '-R 3 2"'
_cell_length_a 3.6313
_cell_length_b 3.6313
_cell_length_c 38.1907
_cell_angle_alpha 90.00
_cell_angle_beta 90.00
_cell_angle_gamma 120.00
loop_
_atom_site_label
_atom_site_fract_x
_atom_site_fract_y
_atom_site_fract_z
Ca1 0.0000 0.0000 0.0000
Ac1 0.0000 0.0000 0.5000
Lu1 0.0000 0.0000 0.0889
# **Polymorph energy (0 for the lowest one)**: 44 kJ/mol of formula units
# **Total energy**: -3.53 eV per atom
# **DFT formation energy**: 0.257 eV per atom

=====

# CaAcLu2 | Alexandria via LeMat-Bulk | GGA-PBE | optimized geometry
data_CaAcLu2
_chemical_formula_sum 'Ca1 Ac1 Lu2'
_symmetry_space_group_name_H-M 'P 4/m m m'
_symmetry_Int_Tables_number 123
_symmetry_space_group_name_Hall '-P 4 2'
_cell_length_a 5.144
_cell_length_b 5.144
_cell_length_c 5.375
_cell_angle_alpha 90.00
_cell_angle_beta 90.00
_cell_angle_gamma 90.00
loop_
_atom_site_label
_atom_site_fract_x
_atom_site_fract_y
_atom_site_fract_z
Ca1 0.000 0.000 0.000
Ac1 0.500 0.500 0.000
Lu1 0.000 0.500 0.500
# **Polymorph energy (0 for the lowest one)**: 8 kJ/mol of formula units
# **Total energy**: -3.62 eV per atom
# **DFT formation energy**: 0.164 eV per atom

=====

# CaAc4Lu | Alexandria via LeMat-Bulk | GGA-PBE | optimized geometry
data_CaAc4Lu
_chemical_formula_sum 'Ca4 Ac16 Lu4'
_symmetry_space_group_name_H-M 'F -4 3 m'
_symmetry_Int_Tables_number 216
_symmetry_space_group_name_Hall 'F -4 2 3'
_cell_length_a 10.250
_cell_length_b 10.250
_cell_length_c 10.250
_cell_angle_alpha 90.00
_cell_angle_beta 90.00
_cell_angle_gamma 90.00
loop_
_atom_site_label
_atom_site_fract_x
_atom_site_fract_y
_atom_site_fract_z
Ca1 0.000 0.000 0.000
Ac1 0.124 0.124 0.376
Lu1 0.250 0.250 0.750
# **Total energy**: -3.50 eV per atom
# **DFT formation energy**: 0.326 eV per atom

=====

# CaAcLu2 | Alexandria via LeMat-Bulk | GGA-PBE | optimized geometry
data_CaAcLu2
_chemical_formula_sum 'Ca1 Ac1 Lu2'
_symmetry_space_group_name_H-M 'P 4/m m m'
_symmetry_Int_Tables_number 123
_symmetry_space_group_name_Hall '-P 4 2'
_cell_length_a 3.751
_cell_length_b 3.751
_cell_length_c 10.188
_cell_angle_alpha 90.00
_cell_angle_beta 90.00
_cell_angle_gamma 90.00
loop_
_atom_site_label
_atom_site_fract_x
_atom_site_fract_y
_atom_site_fract_z
Ca1 0.000 0.000 0.000
Ac1 0.000 0.000 0.500
Lu1 0.500 0.500 0.255
# **Polymorph energy (0 for the lowest one)**: 0 kJ/mol of formula units
# **Total energy**: -3.64 eV per atom
# **DFT formation energy**: 0.143 eV per atom

=====

# CaAcLuPb | Alexandria via LeMat-Bulk | GGA-PBE | optimized geometry
data_CaAcLuPb
_chemical_formula_sum 'Ca4 Ac4 Lu4 Pb4'
_symmetry_space_group_name_H-M 'F -4 3 m'
_symmetry_Int_Tables_number 216
_symmetry_space_group_name_Hall 'F -4 2 3'
_cell_length_a 8.100
_cell_length_b 8.100
_cell_length_c 8.100
_cell_angle_alpha 90.00
_cell_angle_beta 90.00
_cell_angle_gamma 90.00
loop_
_atom_site_label
_atom_site_fract_x
_atom_site_fract_y
_atom_site_fract_z
Ca1 0.000 0.000 0.000
Ac1 0.250 0.250 0.250
Lu1 0.000 0.000 0.500
Pb1 0.250 0.250 0.750
# **Total energy**: -3.57 eV per atom
# **DFT formation energy**: 0.012 eV per atom

=====

# CaAcPmLu | Alexandria via LeMat-Bulk | GGA-PBE | optimized geometry
data_CaAcPmLu
_chemical_formula_sum 'Ca4 Ac4 Pm4 Lu4'
_symmetry_space_group_name_H-M 'F -4 3 m'
_symmetry_Int_Tables_number 216
_symmetry_space_group_name_Hall 'F -4 2 3'
_cell_length_a 8.387
_cell_length_b 8.387
_cell_length_c 8.387
_cell_angle_alpha 90.00
_cell_angle_beta 90.00
_cell_angle_gamma 90.00
loop_
_atom_site_label
_atom_site_fract_x
_atom_site_fract_y
_atom_site_fract_z
Ca1 0.000 0.000 0.000
Ac1 0.250 0.250 0.750
Pm1 0.250 0.250 0.250
Lu1 0.000 0.000 0.500
# **Total energy**: -3.74 eV per atom
# **DFT formation energy**: 0.106 eV per atom

=====

# CaAcPrLu | Alexandria via LeMat-Bulk | GGA-PBE | optimized geometry
data_CaAcPrLu
_chemical_formula_sum 'Ca4 Ac4 Pr4 Lu4'
_symmetry_space_group_name_H-M 'F -4 3 m'
_symmetry_Int_Tables_number 216
_symmetry_space_group_name_Hall 'F -4 2 3'
_cell_length_a 8.420
_cell_length_b 8.420
_cell_length_c 8.420
_cell_angle_alpha 90.00
_cell_angle_beta 90.00
_cell_angle_gamma 90.00
loop_
_atom_site_label
_atom_site_fract_x
_atom_site_fract_y
_atom_site_fract_z
Ca1 0.000 0.000 0.000
Ac1 0.250 0.250 0.250
Pr1 0.250 0.250 0.750
Lu1 0.000 0.000 0.500
# **Total energy**: -3.76 eV per atom
# **DFT formation energy**: 0.094 eV per atom